Here is a geometry-optimized Ta2B2Ru structure from Alexandria via LeMat-Bulk. Energies are from PBE-GGA.

Cell lengths 5.863, 5.863, 3.483 Å; angles 90.00, 90.00, 90.00 degrees
Fractional positions:
Ru 0.500 0.500 0.000
Ru 0.000 0.000 0.000
B 0.385 0.885 0.000
B 0.115 0.385 0.000
B 0.615 0.115 0.000
B 0.885 0.615 0.000
Ta 0.324 0.176 0.500
Ta 0.176 0.676 0.500
Ta 0.824 0.324 0.500
Ta 0.676 0.824 0.500

E (eV/cell): -99.34
Symmetry: P4/mbm, No. 127
Formation energy (eV per atom): -0.667
E above lowest polymorph (eV per atom): 0.000

---

Here is a geometry-optimized Ta3B2Ru5 structure from Alexandria via LeMat-Bulk. Energies are from PBE-GGA.

Cell lengths 9.459, 9.459, 3.018 Å; angles 90.00, 90.00, 90.00 degrees
Fractional positions:
Ta 0.500 0.500 0.000
Ta 0.000 0.000 0.000
Ta 0.176 0.324 0.000
Ta 0.824 0.676 0.000
Ta 0.324 0.824 0.000
Ta 0.676 0.176 0.000
Ru 0.782 0.929 0.500
Ru 0.282 0.571 0.500
Ru 0.218 0.071 0.500
Ru 0.718 0.429 0.500
Ru 0.500 0.000 0.500
Ru 0.071 0.782 0.500
Ru 0.000 0.500 0.500
Ru 0.929 0.218 0.500
Ru 0.571 0.718 0.500
Ru 0.429 0.282 0.500
B 0.379 0.121 0.000
B 0.879 0.379 0.000
B 0.121 0.621 0.000
B 0.621 0.879 0.000

E (eV/cell): -201.09
Symmetry: P4/mbm, No. 127
Formation energy (eV per atom): -0.525

---

Here is a geometry-optimized TaBRu2 structure from Alexandria via LeMat-Bulk. Energies are from PBE-GGA.

Cell lengths 6.654, 6.654, 5.320 Å; angles 51.29, 51.29, 90.00 degrees
Fractional positions:
B 0.500 0.500 0.000
B 0.250 0.750 0.500
Ta 0.750 0.250 0.500
Ta 0.000 0.000 0.000
Ru 0.217 0.625 0.250
Ru 0.375 0.467 0.750
Ru 0.875 0.783 0.750
Ru 0.533 0.125 0.250

E (eV/cell): -74.88
Symmetry: I-42d, No. 122
Formation energy (eV per atom): -0.090

---

Here is a geometry-optimized TaBRu structure from Alexandria via LeMat-Bulk. Energies are from PBE-GGA.

Cell lengths 3.184, 8.957, 15.562 Å; angles 90.00, 90.00, 90.00 degrees
Fractional positions:
Ru 0.500 0.780 0.856
Ru 0.500 0.720 0.356
Ru 0.500 0.220 0.144
Ru 0.500 0.517 0.096
Ru 0.500 0.566 0.734
Ru 0.500 0.483 0.904
Ru 0.500 0.017 0.404
Ru 0.500 0.983 0.596
Ru 0.500 0.066 0.766
Ru 0.500 0.934 0.234
Ru 0.500 0.280 0.644
Ru 0.500 0.434 0.266
Ta 0.000 0.315 0.796
Ta 0.000 0.199 0.504
Ta 0.000 0.699 0.996
Ta 0.000 0.815 0.704
Ta 0.000 0.301 0.004
Ta 0.000 0.801 0.496
Ta 0.000 0.985 0.095
Ta 0.000 0.485 0.405
Ta 0.000 0.185 0.296
Ta 0.000 0.685 0.204
Ta 0.000 0.015 0.905
Ta 0.000 0.515 0.595
B 0.500 0.395 0.504
B 0.500 0.785 0.100
B 0.000 0.110 0.667
B 0.000 0.890 0.333
B 0.500 0.605 0.496
B 0.500 0.105 0.004
B 0.500 0.285 0.400
B 0.000 0.610 0.833
B 0.500 0.715 0.600
B 0.500 0.215 0.900
B 0.500 0.895 0.996
B 0.000 0.390 0.167

E (eV/cell): -356.35
Symmetry: Pbam, No. 55
Formation energy (eV per atom): -0.630

---

Here is a geometry-optimized Ta2B2Ru structure from Alexandria via LeMat-Bulk. Energies are from PBE-GGA.

Cell lengths 3.330, 4.753, 4.753 Å; angles 61.23, 69.50, 69.50 degrees
Fractional positions:
Ru 0.000 0.000 0.000
B 0.500 0.313 0.687
B 0.500 0.687 0.313
Ta 0.794 0.706 0.706
Ta 0.206 0.294 0.294

E (eV/cell): -49.45
Symmetry: Immm, No. 71
Formation energy (eV per atom): -0.623
E above lowest polymorph (eV per atom): 0.044

---

Here is a geometry-optimized TaBRu structure from Alexandria via LeMat-Bulk. Energies are from PBE-GGA.

Cell lengths 3.209, 6.359, 10.879 Å; angles 90.00, 90.00, 90.00 degrees
Fractional positions:
B 0.500 0.951 0.584
B 0.000 0.550 0.250
B 0.500 0.049 0.416
B 0.500 0.049 0.084
B 0.000 0.450 0.750
B 0.500 0.951 0.916
Ta 0.000 0.144 0.250
Ta 0.000 0.778 0.044
Ta 0.000 0.222 0.544
Ta 0.000 0.222 0.956
Ta 0.000 0.778 0.456
Ta 0.000 0.856 0.750
Ru 0.500 0.574 0.875
Ru 0.500 0.426 0.125
Ru 0.500 0.203 0.750
Ru 0.500 0.797 0.250
Ru 0.500 0.426 0.375
Ru 0.500 0.574 0.625

E (eV/cell): -177.94
Symmetry: Pmma, No. 51
Formation energy (eV per atom): -0.617

---

Here is a geometry-optimized Tb2TaB2Ru5 structure from Alexandria via LeMat-Bulk. Energies are from PBE-GGA.

Cell lengths 3.129, 9.704, 9.704 Å; angles 90.00, 90.00, 90.00 degrees
Fractional positions:
Ta 0.000 0.500 0.500
Ta 0.000 0.000 0.000
B 0.000 0.620 0.880
B 0.000 0.880 0.380
B 0.000 0.120 0.620
B 0.000 0.380 0.120
Ru 0.500 0.718 0.429
Ru 0.500 0.282 0.571
Ru 0.500 0.571 0.718
Ru 0.500 0.000 0.500
Ru 0.500 0.071 0.782
Ru 0.500 0.218 0.071
Ru 0.500 0.929 0.218
Ru 0.500 0.429 0.282
Ru 0.500 0.500 0.000
Ru 0.500 0.782 0.929
Tb 0.000 0.675 0.175
Tb 0.000 0.825 0.675
Tb 0.000 0.325 0.825
Tb 0.000 0.175 0.325

E (eV/cell): -171.71
Symmetry: P4/mbm, No. 127
Formation energy (eV per atom): -0.501

---

Here is a geometry-optimized TaTcBRu2 structure from Alexandria via LeMat-Bulk. Energies are from PBE-GGA.

Cell lengths 4.070, 4.070, 4.134 Å; angles 90.00, 90.00, 90.00 degrees
Fractional positions:
Ru 0.000 0.500 0.000
Ru 0.500 0.000 0.000
Ta 0.500 0.500 0.500
B 0.000 0.000 0.000
Tc 0.000 0.000 0.500

E (eV/cell): -48.83
Symmetry: P4/mmm, No. 123
Formation energy (eV per atom): -0.277

---

- Which of these has the lowest formation energy?
  number 1